(1)
A plane-wave DFT calculation with PBE was carried out for a relaxed Ca2IrSe crystal.

Cell: 3.8668 3.8668 22.8335 Å, 90.00 90.00 120.00°
Positions (direct):
Ca  0.0000  0.0000  0.2466
Ca  0.0000  0.0000  0.7534
Ca  0.3333  0.6667  0.4200
Ca  0.3333  0.6667  0.9133
Ca  0.6667  0.3333  0.0867
Ca  0.6667  0.3333  0.5800
Ir  0.0000  0.0000  0.0000
Ir  0.3333  0.6667  0.6667
Ir  0.6667  0.3333  0.3333
Se  0.0000  0.0000  0.5000
Se  0.3333  0.6667  0.1667
Se  0.6667  0.3333  0.8333

Results
DOS(E_F) = 0.1852 states/eV/atom
Calculated density = 5919 kg/m3
Offset from the most stable computed form = 125 meV/atom
SG = No. 166
V = 296 Å³ per cell

(2)
A plane-wave DFT calculation with PBE was carried out for a relaxed Ca3IrSe crystal.

Cell: 5.3893 5.3893 5.3893 Å, 90.00 90.00 90.00°
Positions (direct):
Ca  0.0000  0.0000  0.5000
Ca  0.0000  0.5000  0.0000
Ca  0.5000  0.0000  0.0000
Ir  0.0000  0.0000  0.0000
Se  0.5000  0.5000  0.5000

Results
DOS(E_F) = 0.8789 states/eV/atom
Calculated density = 4152 kg/m3
Offset from the most stable computed form = 0 meV/atom
SG = No. 221
V = 157 Å³ per cell

(3)
A plane-wave DFT calculation with PBE was carried out for a relaxed Ca12Ir3Se5 crystal.

Cell: 14.7888 14.7888 14.7888 Å, 109.47 109.47 109.47°
Positions (direct):
Ca  0.0555  0.2253  0.1414
Ca  0.0555  0.3302  0.9141
Ca  0.0840  0.7253  0.6698
Ca  0.0840  0.8586  0.4141
Ca  0.0859  0.6414  0.4160
Ca  0.0859  0.9445  0.6698
Ca  0.1414  0.0555  0.2253
Ca  0.1414  0.5859  0.9160
Ca  0.1698  0.2253  0.5840
Ca  0.1698  0.4445  0.5859
Ca  0.2253  0.1414  0.0555
Ca  0.2253  0.5840  0.1698
Ca  0.2747  0.3302  0.9160
Ca  0.2747  0.4445  0.3586
Ca  0.3302  0.9141  0.0555
Ca  0.3302  0.9160  0.2747
Ca  0.3586  0.2747  0.4445
Ca  0.3586  0.5840  0.9141
Ca  0.4141  0.0840  0.8586
Ca  0.4141  0.8302  0.5555
Ca  0.4160  0.0859  0.6414
Ca  0.4160  0.8302  0.7747
Ca  0.4445  0.3586  0.2747
Ca  0.4445  0.5859  0.1698
Ca  0.5555  0.4141  0.8302
Ca  0.5555  0.6414  0.7253
Ca  0.5840  0.1698  0.2253
Ca  0.5840  0.9141  0.3586
Ca  0.5859  0.1698  0.4445
Ca  0.5859  0.9160  0.1414
Ca  0.6414  0.4160  0.0859
Ca  0.6414  0.7253  0.5555
Ca  0.6698  0.0840  0.7253
Ca  0.6698  0.0859  0.9445
Ca  0.7253  0.5555  0.6414
Ca  0.7253  0.6698  0.0840
Ca  0.7747  0.4160  0.8302
Ca  0.7747  0.8586  0.9445
Ca  0.8302  0.5555  0.4141
Ca  0.8302  0.7747  0.4160
Ca  0.8586  0.4141  0.0840
Ca  0.8586  0.9445  0.7747
Ca  0.9141  0.0555  0.3302
Ca  0.9141  0.3586  0.5840
Ca  0.9160  0.1414  0.5859
Ca  0.9160  0.2747  0.3302
Ca  0.9445  0.6698  0.0859
Ca  0.9445  0.7747  0.8586
Ir  0.1250  0.2500  0.3750
Ir  0.1250  0.3750  0.7500
Ir  0.2500  0.3750  0.1250
Ir  0.2500  0.8750  0.6250
Ir  0.3750  0.1250  0.2500
Ir  0.3750  0.7500  0.1250
Ir  0.6250  0.2500  0.8750
Ir  0.6250  0.8750  0.7500
Ir  0.7500  0.1250  0.3750
Ir  0.7500  0.6250  0.8750
Ir  0.8750  0.6250  0.2500
Ir  0.8750  0.7500  0.6250
Se  0.0000  0.0000  0.0000
Se  0.0000  0.0000  0.5000
Se  0.0000  0.5000  0.0000
Se  0.0000  0.5000  0.5000
Se  0.1250  0.7500  0.8750
Se  0.1250  0.8750  0.2500
Se  0.2500  0.1250  0.8750
Se  0.2500  0.6250  0.3750
Se  0.3750  0.2500  0.6250
Se  0.3750  0.6250  0.7500
Se  0.5000  0.0000  0.0000
Se  0.5000  0.0000  0.5000
Se  0.5000  0.5000  0.0000
Se  0.5000  0.5000  0.5000
Se  0.6250  0.3750  0.2500
Se  0.6250  0.7500  0.3750
Se  0.7500  0.3750  0.6250
Se  0.7500  0.8750  0.1250
Se  0.8750  0.1250  0.7500
Se  0.8750  0.2500  0.1250

Results
DOS(E_F) = 0.4156 states/eV/atom
Calculated density = 3874 kg/m3
SG = No. 230
V = 2490 Å³ per cell
DFT total energy = -4.25 eV/atom

(4)
A plane-wave DFT calculation with PBE was carried out for a relaxed Ca2IrSe crystal.

Cell: 4.1785 4.1785 5.9550 Å, 90.00 90.00 90.00°
Positions (direct):
Ca  0.0000  0.0000  0.0000
Ca  0.5000  0.5000  0.5000
Ir  0.0000  0.0000  0.5000
Se  0.5000  0.5000  0.0000

Results
DOS(E_F) = 1.1861 states/eV/atom
Calculated density = 5611 kg/m3
Offset from the most stable computed form = 202 meV/atom
SG = No. 123
V = 104 Å³ per cell